(one)
# CsRe2PtSe

A relaxed structure of CsRe2PtSe (PBE, Alexandria via LeMat-Bulk).

The calculation puts the total magnetization at 5.07 μB/f.u. The calculation puts the volume at 27.3 A^3/atom.

The space group is P4/mmm (No. 123) and the conventional cell measures 5.033, 5.033 and 5.393 Å, with angles of 90.00, 90.00 and 90.00 degrees. The asymmetric unit holds Cs at (0.000, 0.000, 0.000), Re at (0.000, 0.500, 0.000), Pt at (0.500, 0.500, 0.500) and Se at (0.000, 0.000, 0.500).

***

(two)
# CsRe2PtSe

A relaxed structure of CsRe2PtSe (PBE, Alexandria via LeMat-Bulk).

The calculation puts the total magnetization at 4.62 μB/f.u. The calculation puts the volume at 31.6 A^3/atom.

The space group is P4/mmm (No. 123) and the conventional cell measures 4.886, 4.886 and 6.621 Å, with angles of 90.00, 90.00 and 90.00 degrees. The asymmetric unit holds Cs at (0.000, 0.000, 0.000), Re at (0.000, 0.500, 0.500), Pt at (0.000, 0.000, 0.500) and Se at (0.500, 0.500, 0.000).

***

The structure with the greatest stability is (two).

***

(one)
# Cs2PtRh

A relaxed structure of Cs2PtRh (PBE, Alexandria via LeMat-Bulk).

The calculation puts the total magnetization at 0.00 μB/f.u. The calculation puts the volume at 47.9 A^3/atom.

The space group is I-42d (No. 122) and the conventional cell measures 12.521, 12.521 and 4.893 Å, with angles of 90.00, 90.00 and 90.00 degrees. The asymmetric unit holds Cs at (0.053, 0.750, 0.125), Pt at (0.000, 0.000, 0.500) and Rh at (0.000, 0.000, 0.000).

***

(two)
# Cs2PtRh

A relaxed structure of Cs2PtRh (PBE, Alexandria via LeMat-Bulk).

The calculation puts the total magnetization at 1.00 μB/f.u. The calculation puts the volume at 31.0 A^3/atom.

The space group is Fm-3m (No. 225) and the conventional cell measures 7.913, 7.913 and 7.913 Å, with angles of 90.00, 90.00 and 90.00 degrees. The asymmetric unit holds Cs at (0.250, 0.250, 0.250), Pt at (0.000, 0.000, 0.000) and Rh at (0.000, 0.000, 0.500).

***

The structure with the greatest stability is (one).

***

(one)
# CsPtS

A relaxed structure of CsPtS (PBE, Alexandria via LeMat-Bulk).

The calculation puts the total magnetization at 0.00 μB/f.u. The calculation puts the volume at 33.4 A^3/atom.

The space group is Cmcm (No. 63) and the conventional cell measures 6.253, 15.917 and 4.029 Å, with angles of 90.00, 90.00 and 90.00 degrees. The asymmetric unit holds Cs at (0.000, 0.151, 0.250), Pt at (0.000, 0.444, 0.750) and S at (0.000, 0.373, 0.250).

***

(two)
# CsPtS

A relaxed structure of CsPtS (PBE, Alexandria via LeMat-Bulk).

The calculation puts the total magnetization at 0.00 μB/f.u. The calculation puts the volume at 34.9 A^3/atom.

The space group is Pmc2_1 (No. 26) and the conventional cell measures 10.922, 4.367 and 8.787 Å, with angles of 90.00, 90.00 and 90.00 degrees. The asymmetric unit holds Cs at (0.248, 0.001, 0.000), Pt at (0.000, 0.500, 0.308), Pt at (0.500, 0.431, 0.250), S at (0.000, 0.499, 0.558) and S at (0.500, 0.069, 0.750).

***

(three)
# CsPtS

A relaxed structure of CsPtS (PBE, Alexandria via LeMat-Bulk).

The calculation puts the total magnetization at 0.00 μB/f.u. The calculation puts the volume at 27.5 A^3/atom.

The space group is P-6m2 (No. 187) and the conventional cell measures 4.0852, 4.0852 and 5.7080 Å, with angles of 90.00, 90.00 and 120.00 degrees. The asymmetric unit holds Cs at (0.0000, 0.0000, 0.0000), Pt at (0.6667, 0.3333, 0.5000) and S at (0.3333, 0.6667, 0.5000).

***

The structure with the greatest stability is (one).

***

(one)
# CsSbPt3

A relaxed structure of CsSbPt3 (PBE, Alexandria via LeMat-Bulk).

The calculation puts the total magnetization at 0.00 μB/f.u. The calculation puts the volume at 27.5 A^3/atom.

The space group is Pm-3m (No. 221) and the conventional cell measures 5.160, 5.160 and 5.160 Å, with angles of 90.00, 90.00 and 90.00 degrees. The asymmetric unit holds Cs at (0.000, 0.000, 0.000), Sb at (0.500, 0.500, 0.500) and Pt at (0.000, 0.500, 0.500).

***

(two)
# CsSbPt3

A relaxed structure of CsSbPt3 (PBE, Alexandria via LeMat-Bulk).

The calculation puts the total magnetization at 0.00 μB/f.u. The calculation puts the volume at 28.2 A^3/atom.

The space group is Pm-3m (No. 221) and the conventional cell measures 5.205, 5.205 and 5.205 Å, with angles of 90.00, 90.00 and 90.00 degrees. The asymmetric unit holds Cs at (0.000, 0.000, 0.000), Sb at (0.500, 0.500, 0.500) and Pt at (0.000, 0.000, 0.500).

***

The structure with the greatest stability is (one).

***

(one)
# Cs2Sb2Pt

A relaxed structure of Cs2Sb2Pt (PBE, Alexandria via LeMat-Bulk).

The calculation puts the total magnetization at 0.00 μB/f.u. The calculation puts the volume at 33.2 A^3/atom.

The space group is P4/mbm (No. 127) and the conventional cell measures 7.147, 7.147 and 6.506 Å, with angles of 90.00, 90.00 and 90.00 degrees. The asymmetric unit holds Cs at (0.175, 0.325, 0.000), Sb at (0.146, 0.646, 0.500) and Pt at (0.000, 0.000, 0.500).

***

(two)
# Cs2Sb2Pt

A relaxed structure of Cs2Sb2Pt (PBE, Alexandria via LeMat-Bulk).

The calculation puts the total magnetization at 0.00 μB/f.u. The calculation puts the volume at 41.2 A^3/atom.

The space group is Cmcm (No. 63) and the conventional cell measures 7.735, 15.031 and 7.085 Å, with angles of 90.00, 90.00 and 90.00 degrees. The asymmetric unit holds Cs at (0.000, 0.101, 0.250), Cs at (0.000, 0.302, 0.750), Sb at (0.183, 0.403, 0.250) and Pt at (0.000, 0.500, 0.000).

***

(three)
# Cs2Sb2Pt

A relaxed structure of Cs2Sb2Pt (PBE, Alexandria via LeMat-Bulk).

The calculation puts the total magnetization at 0.00 μB/f.u. The calculation puts the volume at 38.3 A^3/atom.

The space group is C2/m (No. 12) and the conventional cell measures 14.311, 4.874 and 12.750 Å, with angles of 90.00, 120.41 and 90.00 degrees. The asymmetric unit holds Cs at (0.028, 0.000, 0.165), Cs at (0.202, 0.000, 0.606), Sb at (0.008, 0.500, 0.619), Sb at (0.229, 0.500, 0.076) and Pt at (0.179, 0.500, 0.843).

***

(four)
# Cs2Sb2Pt

A relaxed structure of Cs2Sb2Pt (PBE, Alexandria via LeMat-Bulk).

The calculation puts the total magnetization at 0.50 μB/f.u. The calculation puts the volume at 40.9 A^3/atom.

The space group is I4/mmm (No. 139) and the conventional cell measures 4.218, 4.218 and 22.962 Å, with angles of 90.00, 90.00 and 90.00 degrees. The asymmetric unit holds Cs at (0.000, 0.000, 0.088), Sb at (0.000, 0.500, 0.250) and Pt at (0.000, 0.000, 0.500).

***

The structure with the greatest stability is (two).

***

(one)
# CsSb3Pt

A relaxed structure of CsSb3Pt (PBE, Alexandria via LeMat-Bulk).

The calculation puts the total magnetization at 0.00 μB/f.u. The calculation puts the volume at 33.3 A^3/atom.

The space group is Pm-3m (No. 221) and the conventional cell measures 5.500, 5.500 and 5.500 Å, with angles of 90.00, 90.00 and 90.00 degrees. The asymmetric unit holds Cs at (0.000, 0.000, 0.000), Sb at (0.000, 0.500, 0.500) and Pt at (0.500, 0.500, 0.500).

***

(two)
# CsSb3Pt

A relaxed structure of CsSb3Pt (PBE, Alexandria via LeMat-Bulk).

The calculation puts the total magnetization at 0.00 μB/f.u. The calculation puts the volume at 43.0 A^3/atom.

The space group is Pm-3m (No. 221) and the conventional cell measures 5.990, 5.990 and 5.990 Å, with angles of 90.00, 90.00 and 90.00 degrees. The asymmetric unit holds Cs at (0.000, 0.000, 0.000), Sb at (0.000, 0.000, 0.500) and Pt at (0.500, 0.500, 0.500).

***

The structure with the greatest stability is (one).

***

(one)
# CsScPt3

A relaxed structure of CsScPt3 (PBE, Alexandria via LeMat-Bulk).

The calculation puts the total magnetization at 0.00 μB/f.u. The calculation puts the volume at 27.5 A^3/atom.

The space group is Pm-3m (No. 221) and the conventional cell measures 5.164, 5.164 and 5.164 Å, with angles of 90.00, 90.00 and 90.00 degrees. The asymmetric unit holds Cs at (0.000, 0.000, 0.000), Sc at (0.500, 0.500, 0.500) and Pt at (0.000, 0.000, 0.500).

***

(two)
# CsScPt3

A relaxed structure of CsScPt3 (PBE, Alexandria via LeMat-Bulk).

The calculation puts the total magnetization at 0.00 μB/f.u. The calculation puts the volume at 26.6 A^3/atom.

The space group is Pm-3m (No. 221) and the conventional cell measures 5.102, 5.102 and 5.102 Å, with angles of 90.00, 90.00 and 90.00 degrees. The asymmetric unit holds Cs at (0.000, 0.000, 0.000), Sc at (0.500, 0.500, 0.500) and Pt at (0.000, 0.500, 0.500).

***

The structure with the greatest stability is (two).

***

(one)
# CsSc2Pt

A relaxed structure of CsSc2Pt (PBE, Alexandria via LeMat-Bulk).

The calculation puts the total magnetization at 0.00 μB/f.u. The calculation puts the volume at 37.1 A^3/atom.

The space group is R-3m (No. 166, hexagonal axes) and the conventional cell measures 4.0745, 4.0745 and 30.9843 Å, with angles of 90.00, 90.00 and 120.00 degrees. The asymmetric unit holds Cs at (0.0000, 0.0000, 0.0000), Sc at (0.0000, 0.0000, 0.1272) and Pt at (0.0000, 0.0000, 0.5000).

***

(two)
# CsSc2Pt

A relaxed structure of CsSc2Pt (PBE, Alexandria via LeMat-Bulk).

The calculation puts the total magnetization at 0.00 μB/f.u. The calculation puts the volume at 23.1 A^3/atom.

The space group is Fm-3m (No. 225) and the conventional cell measures 7.173, 7.173 and 7.173 Å, with angles of 90.00, 90.00 and 90.00 degrees. The asymmetric unit holds Cs at (0.000, 0.000, 0.000), Sc at (0.250, 0.250, 0.250) and Pt at (0.000, 0.000, 0.500).

***

The structure with the greatest stability is (one).

***

(one)
# CsSi2Pt2

A relaxed structure of CsSi2Pt2 (PBE, Alexandria via LeMat-Bulk).

The calculation puts the total magnetization at 0.00 μB/f.u. The calculation puts the volume at 26.0 A^3/atom.

The space group is I4/mmm (No. 139) and the conventional cell measures 4.312, 4.312 and 13.999 Å, with angles of 90.00, 90.00 and 90.00 degrees. The asymmetric unit holds Cs at (0.000, 0.000, 0.000), Si at (0.000, 0.500, 0.250) and Pt at (0.000, 0.000, 0.326).

***

(two)
# CsSi2Pt2

A relaxed structure of CsSi2Pt2 (PBE, Alexandria via LeMat-Bulk).

The calculation puts the total magnetization at 0.00 μB/f.u. The calculation puts the volume at 25.5 A^3/atom.

The space group is I4/mmm (No. 139) and the conventional cell measures 4.166, 4.166 and 14.704 Å, with angles of 90.00, 90.00 and 90.00 degrees. The asymmetric unit holds Cs at (0.000, 0.000, 0.000), Si at (0.000, 0.000, 0.336) and Pt at (0.000, 0.500, 0.250).

***

The structure with the greatest stability is (two).

***

(one)
# Cs2SnPt2

A relaxed structure of Cs2SnPt2 (PBE, Alexandria via LeMat-Bulk).

The calculation puts the total magnetization at 0.00 μB/f.u. The calculation puts the volume at 31.0 A^3/atom.

The space group is C2/c (No. 15) and the conventional cell measures 10.782, 9.036 and 6.363 Å, with angles of 90.00, 90.06 and 90.00 degrees. The asymmetric unit holds Cs at (0.138, 0.115, 0.000), Sn at (0.000, 0.500, 0.250) and Pt at (0.147, 0.330, 0.500).

***

(two)
# Cs2SnPt2

A relaxed structure of Cs2SnPt2 (PBE, Alexandria via LeMat-Bulk).

The calculation puts the total magnetization at 0.00 μB/f.u. The calculation puts the volume at 30.3 A^3/atom.

The space group is P4/mbm (No. 127) and the conventional cell measures 7.097, 7.097 and 6.024 Å, with angles of 90.00, 90.00 and 90.00 degrees. The asymmetric unit holds Cs at (0.179, 0.321, 0.000), Sn at (0.000, 0.000, 0.500) and Pt at (0.132, 0.632, 0.500).

***

The structure with the greatest stability is (one).

***

(one)
# CsSnPt

A relaxed structure of CsSnPt (PBE, Alexandria via LeMat-Bulk).

The calculation puts the total magnetization at 0.00 μB/f.u. The calculation puts the volume at 36.4 A^3/atom.

The space group is P3m1 (No. 156) and the conventional cell measures 4.5316, 4.5316 and 6.1358 Å, with angles of 90.00, 90.00 and 120.00 degrees. The asymmetric unit holds Cs at (0.0000, 0.0000, 0.0000), Sn at (0.6667, 0.3333, 0.5000) and Pt at (0.3333, 0.6667, 0.5008).

***

(two)
# CsSnPt

A relaxed structure of CsSnPt (PBE, Alexandria via LeMat-Bulk).

The calculation puts the total magnetization at 0.00 μB/f.u. The calculation puts the volume at 37.1 A^3/atom.

The space group is P2_1/c (No. 14) and the conventional cell measures 5.060, 18.511 and 5.788 Å, with angles of 90.00, 124.88 and 90.00 degrees. The asymmetric unit holds Cs at (0.049, 0.084, 0.275), Sn at (0.159, 0.695, 0.829) and Pt at (0.340, 0.250, 0.171).

***

The structure with the greatest stability is (two).

***

(one)
# CsSnPt3

A relaxed structure of CsSnPt3 (PBE, Alexandria via LeMat-Bulk).

The calculation puts the total magnetization at 0.00 μB/f.u. The calculation puts the volume at 28.6 A^3/atom.

The space group is Pm-3m (No. 221) and the conventional cell measures 5.231, 5.231 and 5.231 Å, with angles of 90.00, 90.00 and 90.00 degrees. The asymmetric unit holds Cs at (0.000, 0.000, 0.000), Sn at (0.500, 0.500, 0.500) and Pt at (0.000, 0.000, 0.500).

***

(two)
# CsSnPt3

A relaxed structure of CsSnPt3 (PBE, Alexandria via LeMat-Bulk).

The calculation puts the total magnetization at 0.00 μB/f.u. The calculation puts the volume at 27.5 A^3/atom.

The space group is Pm-3m (No. 221) and the conventional cell measures 5.163, 5.163 and 5.163 Å, with angles of 90.00, 90.00 and 90.00 degrees. The asymmetric unit holds Cs at (0.000, 0.000, 0.000), Sn at (0.500, 0.500, 0.500) and Pt at (0.000, 0.500, 0.500).

***

The structure with the greatest stability is (two).